VIn2O4: optimized geometry, PBE+U.

Geometry as CIF:
```
data_VIn2O4
_chemical_formula_sum 'V1 In2 O4'
_symmetry_space_group_name_H-M 'P 1'
_symmetry_Int_Tables_number 1
_cell_length_a 3.941
_cell_length_b 3.941
_cell_length_c 6.437
_cell_angle_alpha 72.18
_cell_angle_beta 72.18
_cell_angle_gamma 90.00
loop_
_symmetry_equiv_pos_as_xyz
'x,y,z'
loop_
_atom_site_label
_atom_site_type_symbol
_atom_site_fract_x
_atom_site_fract_y
_atom_site_fract_z
V1 V 0.000 0.000 0.000
O1 O 0.000 0.500 0.000
O2 O 0.500 0.000 0.000
In1 In 0.644 0.644 0.713
O3 O 0.174 0.174 0.653
In2 In 0.356 0.356 0.287
O4 O 0.826 0.826 0.347
```

Properties
As for the density of states at the Fermi level: 3.765 states/eV/cell. The crystal system is tetragonal. For the total energy, the calculation gives -5.9232 eV/atom. Its magnetic moment is 0.276 μB per atom. Its space group is I4/mmm.